<a>
Entry from Alexandria via LeMat-Bulk: CrHgSb at its PBEsol-relaxed geometry (SCAN).

Cell and atoms, written as POSCAR:
```
CrHgSb
1.0
3.151 0.000 0.000
0.000 3.151 0.000
-1.576 -1.576 6.321
Cr Hg Sb
1 1 1
direct
0.002 0.002 0.004 Cr
0.358 0.358 0.717 Hg
0.640 0.640 0.279 Sb
```

Crystal system: tetragonal
DOS at the Fermi energy: 0.6600 states/eV per atom
Magnetic moment: 3.86 μB per formula unit
Space-group type: I4mm (107)


<b>
Entry from Alexandria via LeMat-Bulk: CrHgSb at its PBEsol-relaxed geometry (SCAN).

Cell and atoms, written as POSCAR:
```
CrHgSb
1.0
-1.756 2.632 -1.033
-0.735 -1.457 2.901
4.237 4.045 3.105
Cr Hg Sb
1 1 1
direct
0.000 0.000 0.005 Cr
0.667 0.333 0.697 Hg
0.333 0.667 0.298 Sb
```

Crystal system: trigonal
DOS at the Fermi energy: 0.4634 states/eV per atom
Magnetic moment: 4.01 μB per formula unit
Space-group type: P3m1 (156)


Energies relative to the most stable structure, in meV per atom: <a> 9; <b> 0.


<a>
Entry from Alexandria via LeMat-Bulk: CrHgSb2 at its PBEsol-relaxed geometry (SCAN).

Cell and atoms, written as POSCAR:
```
CrHgSb2
1.0
-2.107 -1.486 -2.083
4.041 -1.958 -2.690
-0.832 -3.772 3.533
Cr Hg Sb
1 1 2
direct
0.500 0.000 0.000 Cr
0.500 0.500 0.500 Hg
0.000 0.500 0.000 Sb
0.000 0.000 0.500 Sb
```

Crystal system: orthorhombic
DOS at the Fermi energy: 0.4511 states/eV per atom
Magnetic moment: 4.12 μB per formula unit
Space-group type: Cmmm (65)


<b>
Entry from Alexandria via LeMat-Bulk: CrHgSb2 at its PBEsol-relaxed geometry (SCAN).

Cell and atoms, written as POSCAR:
```
CrHgSb2
1.0
5.019 0.000 0.000
2.509 4.347 0.000
2.509 1.449 4.098
Cr Hg Sb
1 1 2
direct
0.000 0.000 0.000 Cr
0.500 0.500 0.500 Hg
0.750 0.750 0.750 Sb
0.250 0.250 0.250 Sb
```

Crystal system: cubic
DOS at the Fermi energy: 0.4937 states/eV per atom
Magnetic moment: 4.04 μB per formula unit
Space-group type: Fm-3m (225)


<c>
Entry from Alexandria via LeMat-Bulk: CrHgSb2 at its PBEsol-relaxed geometry (SCAN).

Cell and atoms, written as POSCAR:
```
CrHgSb2
1.0
3.188 0.000 0.000
0.000 4.334 -0.244
-1.594 -1.795 6.660
Cr Hg Sb
1 1 2
direct
0.513 0.513 0.026 Cr
0.813 0.313 0.625 Hg
0.988 0.988 0.976 Sb
0.186 0.686 0.373 Sb
```

Crystal system: orthorhombic
DOS at the Fermi energy: 0.5174 states/eV per atom
Magnetic moment: 3.47 μB per formula unit
Space-group type: Imm2 (44)


Energies relative to the most stable structure, in meV per atom: <a> 79; <b> 163; <c> 0.


<a>
Entry from Alexandria via LeMat-Bulk: ScCrHg2 at its PBEsol-relaxed geometry (SCAN).

Cell and atoms, written as POSCAR:
```
ScCrHg2
1.0
4.029 0.000 0.000
0.000 4.338 0.000
0.000 0.000 4.338
Cr Hg Sc
1 2 1
direct
0.500 0.000 0.000 Cr
0.000 0.000 0.500 Hg
0.000 0.500 0.000 Hg
0.500 0.500 0.500 Sc
```

Crystal system: tetragonal
DOS at the Fermi energy: 0.6673 states/eV per atom
Magnetic moment: 3.62 μB per formula unit
Space-group type: P4/mmm (123)


<b>
Entry from Alexandria via LeMat-Bulk: ScCrHg2 at its PBEsol-relaxed geometry (SCAN).

Cell and atoms, written as POSCAR:
```
ScCrHg2
1.0
3.318 0.000 0.000
-1.659 4.591 -0.014
0.000 -1.219 5.211
Cr Hg Sc
1 2 1
direct
0.500 0.000 0.000 Cr
0.755 0.509 0.762 Hg
0.245 0.491 0.238 Hg
0.000 0.000 0.500 Sc
```

Crystal system: monoclinic
DOS at the Fermi energy: 0.6135 states/eV per atom
Magnetic moment: 3.83 μB per formula unit
Space-group type: C2/m (12)


Energies relative to the most stable structure, in meV per atom: <a> 0; <b> 77.


<a>
Entry from Alexandria via LeMat-Bulk: TaCrHg2 at its PBEsol-relaxed geometry (SCAN).

Cell and atoms, written as POSCAR:
```
TaCrHg2
1.0
-4.082 -1.257 1.817
-3.403 -1.520 -2.766
-1.228 -4.476 0.075
Cr Hg Ta
1 2 1
direct
0.500 0.500 0.500 Cr
0.000 0.000 0.000 Hg
0.750 0.750 0.750 Hg
0.250 0.250 0.250 Ta
```

Crystal system: cubic
DOS at the Fermi energy: 1.5163 states/eV per atom
Magnetic moment: 3.04 μB per formula unit
Space-group type: F-43m (216)


<b>
Entry from Alexandria via LeMat-Bulk: TaCrHg2 at its PBEsol-relaxed geometry (SCAN).

Cell and atoms, written as POSCAR:
```
TaCrHg2
1.0
-0.115 -3.191 -0.319
1.687 0.211 -2.721
5.858 -0.571 3.587
Cr Hg Ta
1 2 1
direct
0.500 0.500 0.712 Cr
0.000 0.000 0.974 Hg
0.500 0.500 0.266 Hg
0.000 0.000 0.549 Ta
```

Crystal system: tetragonal
DOS at the Fermi energy: 0.4734 states/eV per atom
Magnetic moment: 1.23 μB per formula unit
Space-group type: P4mm (99)


Energies relative to the most stable structure, in meV per atom: <a> 303; <b> 0.


<a>
Entry from Alexandria via LeMat-Bulk: Y2CrHg at its PBEsol-relaxed geometry (SCAN).

Cell and atoms, written as POSCAR:
```
Y2CrHg
1.0
3.532 0.000 0.000
0.000 4.973 -0.097
-1.766 -1.859 5.366
Cr Hg Y
1 1 2
direct
0.524 0.496 0.049 Cr
0.226 0.753 0.452 Hg
0.984 0.966 0.968 Y
0.766 0.285 0.531 Y
```

Crystal system: monoclinic
DOS at the Fermi energy: 0.7149 states/eV per atom
Magnetic moment: 3.28 μB per formula unit
Space-group type: Cm (8)


<b>
Entry from Alexandria via LeMat-Bulk: Y2CrHg at its PBEsol-relaxed geometry (SCAN).

Cell and atoms, written as POSCAR:
```
Y2CrHg
1.0
3.523 0.000 0.000
1.761 3.051 0.000
1.761 1.017 9.000
Cr Hg Y
1 1 2
direct
0.500 0.500 0.500 Cr
0.000 0.000 0.000 Hg
0.245 0.245 0.264 Y
0.755 0.755 0.736 Y
```

Crystal system: trigonal
DOS at the Fermi energy: 0.8061 states/eV per atom
Magnetic moment: 3.30 μB per formula unit
Space-group type: R-3m (166)


Energies relative to the most stable structure, in meV per atom: <a> 0; <b> 177.


<a>
Entry from Alexandria via LeMat-Bulk: YCrHg2 at its PBEsol-relaxed geometry (SCAN).

Cell and atoms, written as POSCAR:
```
YCrHg2
1.0
-1.096 -2.274 -2.359
3.212 -1.238 -0.299
-1.311 -4.629 5.073
Cr Hg Y
1 2 1
direct
0.500 0.500 0.500 Cr
0.000 0.000 0.718 Hg
0.000 0.000 0.282 Hg
0.500 0.500 0.000 Y
```

Crystal system: tetragonal
DOS at the Fermi energy: 0.5048 states/eV per atom
Magnetic moment: 3.91 μB per formula unit
Space-group type: P4/mmm (123)


<b>
Entry from Alexandria via LeMat-Bulk: YCrHg2 at its PBEsol-relaxed geometry (SCAN).

Cell and atoms, written as POSCAR:
```
YCrHg2
1.0
3.479 0.000 0.000
1.740 3.013 0.000
1.740 1.004 8.675
Cr Hg Y
1 2 1
direct
0.000 0.000 0.000 Cr
0.257 0.257 0.228 Hg
0.743 0.743 0.772 Hg
0.500 0.500 0.500 Y
```

Crystal system: trigonal
DOS at the Fermi energy: 0.6340 states/eV per atom
Magnetic moment: 4.39 μB per formula unit
Space-group type: R-3m (166)


<c>
Entry from Alexandria via LeMat-Bulk: YCrHg2 at its PBEsol-relaxed geometry (SCAN).

Cell and atoms, written as POSCAR:
```
YCrHg2
1.0
3.622 0.000 0.000
0.000 3.622 0.000
0.000 0.000 6.500
Cr Hg Y
1 2 1
direct
0.500 0.500 0.779 Cr
0.000 0.000 0.977 Hg
0.500 0.500 0.239 Hg
0.000 0.000 0.505 Y
```

Crystal system: tetragonal
DOS at the Fermi energy: 0.6065 states/eV per atom
Magnetic moment: 4.04 μB per formula unit
Space-group type: P4mm (99)


Energies relative to the most stable structure, in meV per atom: <a> 0; <b> 238; <c> 160.


<a>
Entry from Alexandria via LeMat-Bulk: YCrHg at its PBEsol-relaxed geometry (SCAN).

Cell and atoms, written as POSCAR:
```
YCrHg
1.0
3.671 0.000 0.000
0.000 3.678 0.000
-1.835 -1.839 4.742
Cr Hg Y
1 1 1
direct
0.008 0.008 0.015 Cr
0.656 0.656 0.313 Hg
0.336 0.336 0.672 Y
```

Crystal system: tetragonal
DOS at the Fermi energy: 0.4485 states/eV per atom
Magnetic moment: 4.36 μB per formula unit
Space-group type: I4mm (107)


<b>
Entry from Alexandria via LeMat-Bulk: YCrHg at its PBEsol-relaxed geometry (SCAN).

Cell and atoms, written as POSCAR:
```
YCrHg
1.0
-4.077 2.286 -0.758
-3.415 -2.039 -2.569
-3.974 -1.487 2.100
Cr Hg Y
1 1 1
direct
0.500 0.500 0.500 Cr
0.250 0.250 0.250 Hg
0.000 0.000 0.000 Y
```

Crystal system: cubic
DOS at the Fermi energy: 1.1925 states/eV per atom
Magnetic moment: 4.40 μB per formula unit
Space-group type: F-43m (216)


Energies relative to the most stable structure, in meV per atom: <a> 0; <b> 189.


<a>
Entry from Alexandria via LeMat-Bulk: Zn2CrHg at its PBEsol-relaxed geometry (SCAN).

Cell and atoms, written as POSCAR:
```
Zn2CrHg
1.0
-1.831 0.990 2.017
-1.498 -3.848 0.530
4.505 -1.383 2.695
Cr Hg Zn
1 1 2
direct
0.917 0.000 0.458 Cr
0.571 0.500 0.769 Hg
0.190 0.000 0.006 Zn
0.322 0.500 0.267 Zn
```

Crystal system: orthorhombic
DOS at the Fermi energy: 0.4092 states/eV per atom
Magnetic moment: 3.79 μB per formula unit
Space-group type: Amm2 (38)


<b>
Entry from Alexandria via LeMat-Bulk: Zn2CrHg at its PBEsol-relaxed geometry (SCAN).

Cell and atoms, written as POSCAR:
```
Zn2CrHg
1.0
-0.650 -2.639 0.582
1.381 -1.365 1.990
-5.861 1.536 7.063
Cr Hg Zn
1 1 2
direct
0.500 0.500 0.500 Cr
0.000 0.000 0.000 Hg
0.240 0.240 0.281 Zn
0.760 0.760 0.719 Zn
```

Crystal system: trigonal
DOS at the Fermi energy: 0.4162 states/eV per atom
Magnetic moment: 0.00 μB per formula unit
Space-group type: R-3m (166)


Energies relative to the most stable structure, in meV per atom: <a> 0; <b> 289.


<a>
Entry from Alexandria via LeMat-Bulk: CrInIO2 at its PBEsol-relaxed geometry (SCAN).

Cell and atoms, written as POSCAR:
```
CrInIO2
1.0
-3.894 0.808 -0.114
-0.576 -2.330 3.173
0.776 4.192 3.220
I Cr O In
1 1 2 1
direct
0.000 0.000 0.500 I
0.000 0.000 0.000 Cr
0.000 0.500 0.000 O
0.500 0.000 0.000 O
0.500 0.500 0.500 In
```

Crystal system: tetragonal
DOS at the Fermi energy: 0.5309 states/eV per atom
Magnetic moment: 2.54 μB per formula unit
Space-group type: P4/mmm (123)


<b>
Entry from Alexandria via LeMat-Bulk: CrInIO2 at its PBEsol-relaxed geometry (SCAN).

Cell and atoms, written as POSCAR:
```
CrInIO2
1.0
4.058 0.000 0.000
0.000 4.058 0.000
0.000 0.000 6.231
I Cr O In
1 1 2 1
direct
0.000 0.000 0.500 I
0.500 0.500 0.500 Cr
0.000 0.500 0.000 O
0.500 0.000 0.000 O
0.000 0.000 0.000 In
```

Crystal system: tetragonal
DOS at the Fermi energy: 0.4285 states/eV per atom
Magnetic moment: 5.32 μB per formula unit
Space-group type: P4/mmm (123)


Energies relative to the most stable structure, in meV per atom: <a> 0; <b> 284.


<a>
Entry from Alexandria via LeMat-Bulk: CrSbI2N at its PBEsol-relaxed geometry (SCAN).

Cell and atoms, written as POSCAR:
```
CrSbI2N
1.0
-0.221 -3.459 0.980
5.513 -0.085 0.946
-0.886 1.558 5.300
I Sb N Cr
2 1 1 1
direct
0.000 0.000 0.500 I
0.000 0.500 0.000 I
0.500 0.500 0.500 Sb
0.500 0.000 0.000 N
0.000 0.000 0.000 Cr
```

Crystal system: tetragonal
DOS at the Fermi energy: 0.4462 states/eV per atom
Magnetic moment: 2.16 μB per formula unit
Space-group type: P4/mmm (123)


<b>
Entry from Alexandria via LeMat-Bulk: CrSbI2N at its PBEsol-relaxed geometry (SCAN).

Cell and atoms, written as POSCAR:
```
CrSbI2N
1.0
-2.198 -4.571 0.298
4.871 -2.364 -0.324
0.430 0.146 5.405
I Sb N Cr
2 1 1 1
direct
0.000 0.000 0.500 I
0.000 0.500 0.000 I
0.500 0.000 0.000 Sb
0.500 0.500 0.500 N
0.000 0.000 0.000 Cr
```

Crystal system: tetragonal
DOS at the Fermi energy: 0.5310 states/eV per atom
Magnetic moment: 5.96 μB per formula unit
Space-group type: P4/mmm (123)


Energies relative to the most stable structure, in meV per atom: <a> 0; <b> 789.


<a>
Entry from Alexandria via LeMat-Bulk: CrIO2 at its PBEsol-relaxed geometry (SCAN).

Cell and atoms, written as POSCAR:
```
CrIO2
1.0
3.002 0.000 0.000
1.501 2.600 0.000
1.501 0.867 8.777
I Cr O
1 1 2
direct
0.000 0.000 0.000 I
0.500 0.500 0.500 Cr
0.867 0.867 0.399 O
0.133 0.133 0.601 O
```

Crystal system: trigonal
DOS at the Fermi energy: 0.6999 states/eV per atom
Magnetic moment: 2.14 μB per formula unit
Space-group type: R-3m (166)


<b>
Entry from Alexandria via LeMat-Bulk: CrIO2 at its PBEsol-relaxed geometry (SCAN).

Cell and atoms, written as POSCAR:
```
CrIO2
1.0
4.115 0.000 0.000
2.057 3.563 0.000
2.057 1.188 3.360
I Cr O
1 1 2
direct
0.500 0.500 0.500 I
0.000 0.000 0.000 Cr
0.250 0.250 0.250 O
0.750 0.750 0.750 O
```

Crystal system: cubic
DOS at the Fermi energy: 1.1791 states/eV per atom
Magnetic moment: 2.97 μB per formula unit
Space-group type: Fm-3m (225)


Energies relative to the most stable structure, in meV per atom: <a> 0; <b> 1635.


<a>
Entry from Alexandria via LeMat-Bulk: KCrIn at its PBEsol-relaxed geometry (SCAN).

Cell and atoms, written as POSCAR:
```
KCrIn
1.0
3.147 0.000 0.000
0.000 4.403 0.000
-1.573 -2.202 6.147
Cr In K
1 1 1
direct
0.062 0.062 0.124 Cr
0.608 0.608 0.217 In
0.330 0.330 0.660 K
```

Crystal system: orthorhombic
DOS at the Fermi energy: 0.5238 states/eV per atom
Magnetic moment: 4.11 μB per formula unit
Space-group type: Imm2 (44)


<b>
Entry from Alexandria via LeMat-Bulk: KCrIn at its PBEsol-relaxed geometry (SCAN).

Cell and atoms, written as POSCAR:
```
KCrIn
1.0
-3.226 -2.430 3.072
1.063 -4.701 1.589
1.244 -0.818 4.852
Cr In K
1 1 1
direct
0.250 0.250 0.250 Cr
0.000 0.000 0.000 In
0.500 0.500 0.500 K
```

Crystal system: cubic
DOS at the Fermi energy: 0.6328 states/eV per atom
Magnetic moment: 4.96 μB per formula unit
Space-group type: F-43m (216)


Energies relative to the most stable structure, in meV per atom: <a> 0; <b> 355.